# 1
Computed, not measured: an optimized crystal structure of Pm7Ge3O2 at the GGA-PBE level of DFT.

Computed properties:
Formation energy without anion corrections   -1.32 eV per atom
Total magnetization   0.0 μB/f.u.
Crystal system   tetragonal

Unit cell a=4.7519 b=4.7519 c=13.1553 alpha=100.41 beta=100.41 gamma=90.00
With the nearest neighbours (Å) after each atom.
Sites, in units of the cell vectors:
1 Pm 0.2029 0.2029 0.4058  1 O 2.62
2 Pm 0.9053 0.4053 0.8106  2 O 2.38
3 Pm 0.4053 0.9053 0.8106  2 O 2.38
4 Pm 0.5947 0.0947 0.1894  2 O 2.38
5 Pm 0.0000 0.0000 0.0000  2 O 2.55
6 Pm 0.0947 0.5947 0.1894  2 O 2.38
7 Pm 0.7971 0.7971 0.5942  1 O 2.62
8 Ge 0.3211 0.3211 0.6422  5 Pm 3.01-3.20
9 Ge 0.6789 0.6789 0.3578  5 Pm 3.01-3.20
10 Ge 0.5000 0.5000 0.0000  12 Pm 3.36-3.38
11 O 0.8999 0.8999 0.7998  6 Pm 2.38-2.62
12 O 0.1001 0.1001 0.2002  6 Pm 2.38-2.62

# 2
Computed, not measured: an optimized crystal structure of KCd6Ag4 at the GGA-PBE level of DFT.

Computed properties:
Total magnetization   0.0 μB/f.u.
Energy of formation   -0.024 eV/atom
Crystal system   hexagonal

Unit cell a=4.5532 b=8.1571 c=8.1571 alpha=120.00 beta=90.00 gamma=90.00
With the nearest neighbours (Å) after each atom.
Sites, in units of the cell vectors:
1 Cd 0.0000 0.5334 0.0669  5 Ag 2.83-2.92
2 Cd 0.0000 0.9331 0.4666  5 Ag 2.83-2.92
3 Cd 0.5000 0.2004 0.4007  4 Ag 2.89-2.95
4 Cd 0.5000 0.2004 0.7996  4 Ag 2.89-2.95
5 Cd 0.0000 0.5334 0.4666  5 Ag 2.83-2.92
6 Cd 0.5000 0.5993 0.7996  4 Ag 2.89-2.95
7 Ag 0.5000 0.7913 0.2087  6 Cd 2.89-2.92, 2 Ag 3.05
8 Ag 0.5000 0.7913 0.5826  6 Cd 2.89-2.92, 2 Ag 3.05
9 Ag 0.5000 0.4174 0.2087  6 Cd 2.89-2.92, 2 Ag 3.05
10 Ag 0.0000 0.3333 0.6667  9 Cd 2.83-2.95
11 K 0.0000 0.0000 0.0000  6 Cd 3.63, 6 Ag 3.73